VASP calculation (PBE) on DyTiGe after structural relaxation.

Unit cell a=4.0573 b=4.0573 c=7.6809 alpha=90.00 beta=90.00 gamma=90.00
Space group P4/nmm (No. 129, origin choice 2)
Inequivalent atoms, fractional coordinates:
Dy 0.2500 0.2500 0.1565 [2 per cell]
Ti 0.2500 0.7500 0.5000 [2 per cell]
Ge 0.2500 0.2500 0.7430 [2 per cell]

Output
Formation enthalpy at 0 K = -0.692 eV/atom
D(E_F) = 2.48 states/eV/f.u.
Electronic total energy = -38.4 eV per cell

***

VASP calculation (PBE) on KY2Mg after structural relaxation.

Unit cell a=3.7616 b=3.7616 c=10.3737 alpha=90.00 beta=90.00 gamma=90.00
Space group P4/mmm (No. 123)
Inequivalent atoms, fractional coordinates:
K 0.0000 0.0000 0.0000 [1 per cell]
Y 0.5000 0.5000 0.3252 [2 per cell]
Mg 0.0000 0.0000 0.5000 [1 per cell]

Output
Formation enthalpy at 0 K = 0.216 eV/atom
D(E_F) = 4.20 states/eV/f.u.
Electronic total energy = -14.8 eV per cell

***

VASP calculation (PBE) on CsSrAs2Br after structural relaxation.

Unit cell a=6.0584 b=6.0584 c=6.0764 alpha=90.00 beta=90.00 gamma=90.00
Space group P4/mmm (No. 123)
Inequivalent atoms, fractional coordinates:
Cs 0.0000 0.0000 0.0000 [1 per cell]
Sr 0.5000 0.5000 0.5000 [1 per cell]
As 0.0000 0.5000 0.5000 [2 per cell]
Br 0.5000 0.5000 0.0000 [1 per cell]

Output
D(E_F) = 3.85 states/eV/f.u.
Electronic total energy = -15.3 eV per cell